Computed, not measured: a relaxed structure of TlReCl at the GGA-PBEsol level of DFT.

Output
Space-group type: F-43m (216)
Formation energy without anion corrections: 4.139 eV/f.u.
V: 22.0 Å³/atom
Crystal system: cubic

Cell: 4.539 4.539 4.539 Å, 60.00 60.00 60.00°
Each line ends with the local moment (μB).
Element x y z (fractional)
1 Cl 0.500 0.500 0.500  0.09
2 Tl 0.000 0.000 0.000  0.06
3 Re 0.250 0.250 0.250  2.06

=====

Computed, not measured: a relaxed structure of TlReCl3 at the GGA-PBEsol level of DFT.

Output
Space-group type: Pm-3m (221)
Formation energy without anion corrections: -0.411 eV/f.u.
V: 22.6 Å³/atom
Crystal system: cubic

Cell: 4.831 4.831 4.831 Å, 90.00 90.00 90.00°
Each line ends with the local moment (μB).
Element x y z (fractional)
1 Tl 0.500 0.500 0.500  0.01
2 Re 0.000 0.000 0.000  1.81
3 Cl 0.000 0.500 0.000  0.05
4 Cl 0.500 0.000 0.000  0.05
5 Cl 0.000 0.000 0.500  0.05

=====

Computed, not measured: a relaxed structure of Tl4ReCl at the GGA-PBEsol level of DFT.

Output
Space-group type: F-43m (216)
Formation energy without anion corrections: 5.836 eV/f.u.
V: 26.2 Å³/atom
Crystal system: cubic

Cell: 6.058 6.058 6.058 Å, 60.00 60.00 60.00°
Each line ends with the local moment (μB).
Element x y z (fractional)
1 Tl 0.375 0.375 0.375  -0.03
2 Tl 0.375 0.875 0.375  -0.03
3 Tl 0.375 0.375 0.875  -0.03
4 Tl 0.875 0.375 0.375  -0.03
5 Re 0.000 0.000 0.000  3.11
6 Cl 0.750 0.750 0.750  0.03

=====

Computed, not measured: a relaxed structure of Re3WCl at the GGA-PBEsol level of DFT.

Output
Space-group type: Pm-3m (221)
Formation energy without anion corrections: 8.456 eV/f.u.
V: 15.7 Å³/atom
Crystal system: cubic

Cell: 4.279 4.279 4.279 Å, 90.00 90.00 90.00°
Element x y z (fractional)
1 Re 0.000 0.500 0.000
2 Re 0.000 0.000 0.500
3 Re 0.500 0.000 0.000
4 W 0.500 0.500 0.500
5 Cl 0.000 0.000 0.000

=====

Computed, not measured: a relaxed structure of YReCl at the GGA-PBEsol level of DFT.

Output
Space-group type: F-43m (216)
Formation energy without anion corrections: 2.280 eV/f.u.
V: 20.3 Å³/atom
Crystal system: cubic

Cell: 4.415 4.415 4.415 Å, 60.00 60.00 60.00°
Each line ends with the local moment (μB).
Element x y z (fractional)
1 Cl 0.750 0.750 0.750  0.06
2 Re 0.000 0.000 0.000  1.66
3 Y 0.500 0.500 0.500  -0.01

=====

Computed, not measured: a relaxed structure of ZnReCl3 at the GGA-PBEsol level of DFT.

Output
Space-group type: Pm-3m (221)
Formation energy without anion corrections: 3.074 eV/f.u.
V: 22.3 Å³/atom
Crystal system: cubic

Cell: 4.813 4.813 4.813 Å, 90.00 90.00 90.00°
Each line ends with the local moment (μB).
Element x y z (fractional)
1 Zn 0.000 0.000 0.000  0.01
2 Cl 0.000 0.000 0.500  0.08
3 Cl 0.500 0.000 0.000  0.08
4 Cl 0.000 0.500 0.000  0.08
5 Re 0.500 0.500 0.500  4.46

=====

Which formula does entry 5 have?
YReCl